Record 1
Compound: YIn6Cl12
Source: the Alexandria database
Functional: PBE
Structure: optimized geometry

The structure belongs to space group R-3 (No. 148, hexagonal axes); the cell edges are 10.9828, 10.9828 and 17.1977 Å and the angles 90.00°, 90.00° and 120.00°. The inequivalent atoms are Y at (0.0000, 0.0000, 0.0000), In at (0.0296, 0.1953, 0.7243), Cl at (0.0024, 0.2223, 0.3902) and Cl at (0.0605, 0.2136, 0.9041).

For the total DFT energy (no corrections), the calculation gives -3.442 eV per atom. For the formation energy without anion corrections, the calculation gives -1.07 eV/atom. The volume is 599 Å³/f.u. The calculation puts the total magnetization at 0.0000 μB/atom.



Record 2
Compound: Y2InCl2
Source: the Alexandria database
Functional: PBE
Structure: optimized geometry

The structure belongs to space group I4/mmm (No. 139); the cell edges are 4.2000, 4.2000 and 14.6455 Å and the angles 90.00°, 90.00° and 90.00°. The inequivalent atoms are Y at (0.0000, 0.0000, 0.1235), In at (0.0000, 0.0000, 0.5000) and Cl at (0.0000, 0.5000, 0.2500).

For the total DFT energy (no corrections), the calculation gives -5.046 eV per atom. For the formation energy without anion corrections, the calculation gives -1.17 eV/atom. The volume is 129 Å³/f.u. The calculation puts the total magnetization at 0.0000 μB/atom.



Record 3
Compound: Y2InCl
Source: the Alexandria database
Functional: PBE
Structure: optimized geometry

The structure belongs to space group Fm-3m (No. 225); the cell edges are 7.4803, 7.4803 and 7.4803 Å and the angles 90.00°, 90.00° and 90.00°. The inequivalent atoms are Y at (0.2500, 0.2500, 0.2500), In at (0.0000, 0.0000, 0.0000) and Cl at (0.0000, 0.0000, 0.5000).

For the total DFT energy (no corrections), the calculation gives -5.046 eV per atom. For the formation energy without anion corrections, the calculation gives -0.67 eV/atom. The volume is 105 Å³/f.u. The calculation puts the total magnetization at 0.0000 μB/atom.



Record 4
Compound: YIn3Cl
Source: the Alexandria database
Functional: PBE
Structure: optimized geometry

The structure belongs to space group Pm-3m (No. 221); the cell edges are 6.1033, 6.1033 and 6.1033 Å and the angles 90.00°, 90.00° and 90.00°. The inequivalent atoms are Y at (0.0000, 0.0000, 0.0000), In at (0.0000, 0.0000, 0.5000) and Cl at (0.5000, 0.5000, 0.5000).

For the total DFT energy (no corrections), the calculation gives -2.911 eV per atom. For the formation energy without anion corrections, the calculation gives 0.39 eV/atom. The volume is 227 Å³/f.u. The calculation puts the total magnetization at 0.5011 μB/atom.



Record 5
Compound: YInCl3
Source: the Alexandria database
Functional: PBE
Structure: optimized geometry

The structure belongs to space group Pm-3m (No. 221); the cell edges are 5.4283, 5.4283 and 5.4283 Å and the angles 90.00°, 90.00° and 90.00°. The inequivalent atoms are Y at (0.0000, 0.0000, 0.0000), In at (0.5000, 0.5000, 0.5000) and Cl at (0.0000, 0.5000, 0.5000).

For the total DFT energy (no corrections), the calculation gives -3.440 eV per atom. For the formation energy without anion corrections, the calculation gives -0.49 eV/atom. The volume is 160 Å³/f.u. The calculation puts the total magnetization at 0.2996 μB/atom.



Record 6
Compound: Y2InCl
Source: the Alexandria database
Functional: PBE
Structure: optimized geometry

The structure belongs to space group Immm (No. 71); the cell edges are 3.9953, 6.3522 and 8.5997 Å and the angles 90.00°, 90.00° and 90.00°. The inequivalent atoms are Y at (0.0000, 0.0000, 0.2161), In at (0.0000, 0.5000, 0.0000) and Cl at (0.0000, 0.5000, 0.5000).

For the total DFT energy (no corrections), the calculation gives -5.111 eV per atom. For the formation energy without anion corrections, the calculation gives -0.73 eV/atom. The volume is 109 Å³/f.u. The calculation puts the total magnetization at 0.0001 μB/atom.